## CdNiBr6 (PBE-GGA)

Data for a relaxed structure of CdNiBr6.

Cell lengths 6.4352, 6.4395, 6.9667 Å; angles 90.02, 117.39, 119.93 degrees
With the nearest neighbours (Å) after each atom.
Element x y z (fractional)
1 Br 0.1647 0.4489 0.2654  1 Ni 2.42
2 Br 0.8169 0.7157 0.2656  1 Ni 2.42
3 Br 0.5514 0.1025 0.2659  1 Ni 2.42
4 Br 0.4486 0.8975 0.7341  1 Ni 2.42
5 Br 0.1831 0.2843 0.7344  1 Ni 2.42
6 Br 0.8353 0.5511 0.7346  1 Ni 2.42
7 Cd 0.0000 0.0000 0.0000  6 Br 2.83-2.84
8 Ni 0.0000 0.5000 0.5000  6 Br 2.42

---

## Rb2CdNiBr6 (PBE-GGA)

Data for a relaxed structure of Rb2CdNiBr6.

Cell lengths 7.5744, 7.5744, 7.5744 Å; angles 60.00, 60.00, 60.00 degrees
With the nearest neighbours (Å) after each atom.
Element x y z (fractional)
1 Br 0.7397 0.2603 0.2603  1 Ni 2.57, 1 Cd 2.79
2 Br 0.7397 0.7397 0.2603  1 Ni 2.57, 1 Cd 2.79
3 Br 0.2603 0.7397 0.2603  1 Ni 2.57, 1 Cd 2.79
4 Br 0.2603 0.2603 0.7397  1 Ni 2.57, 1 Cd 2.79
5 Br 0.7397 0.2603 0.7397  1 Ni 2.57, 1 Cd 2.79
6 Br 0.2603 0.7397 0.7397  1 Ni 2.57, 1 Cd 2.79
7 Cd 0.0000 0.0000 0.0000  6 Br 2.79
8 Ni 0.5000 0.5000 0.5000  6 Br 2.57
9 Rb 0.2500 0.2500 0.2500  12 Br 3.79
10 Rb 0.7500 0.7500 0.7500  12 Br 3.79

---

## CdBr2O6 (PBE-GGA)

Data for a relaxed structure of CdBr2O6.

Cell lengths 6.6844, 6.6844, 6.6956 Å; angles 102.86, 102.86, 91.68 degrees
With the nearest neighbours (Å) after each atom.
Element x y z (fractional)
1 Br 0.5774 0.8039 0.2439  3 O 1.66-1.73
2 Br 0.1961 0.4226 0.2561  3 O 1.66-1.73
3 Br 0.8039 0.5774 0.7439  3 O 1.66-1.73
4 Br 0.4226 0.1961 0.7561  3 O 1.66-1.73
5 Cd 0.0922 0.9078 0.2500  6 O 2.26-2.42
6 Cd 0.9078 0.0922 0.7500  6 O 2.26-2.42
7 O 0.2719 0.4874 0.0571  1 Br 1.66
8 O 0.0308 0.2045 0.1293  1 Br 1.73
9 O 0.3964 0.9605 0.1675  1 Br 1.69
10 O 0.0395 0.6036 0.3325  1 Br 1.69
11 O 0.7955 0.9692 0.3707  1 Br 1.73
12 O 0.5126 0.7281 0.4429  1 Br 1.66
13 O 0.4874 0.2719 0.5571  1 Br 1.66
14 O 0.2045 0.0308 0.6293  1 Br 1.73
15 O 0.9605 0.3964 0.6675  1 Br 1.69
16 O 0.6036 0.0395 0.8325  1 Br 1.69
17 O 0.9692 0.7955 0.8707  1 Br 1.73
18 O 0.7281 0.5126 0.9429  1 Br 1.66

---

## Cd3Br2O2 (PBE-GGA)

Data for a relaxed structure of Cd3Br2O2.

Cell lengths 6.5547, 6.8472, 6.9186 Å; angles 90.00, 115.47, 90.00 degrees
With the nearest neighbours (Å) after each atom.
Element x y z (fractional)
1 Br 0.8088 0.3697 0.0679  4 Cd 2.84-2.97
2 Br 0.1912 0.8697 0.4321  4 Cd 2.84-2.97
3 Br 0.8088 0.1303 0.5679  4 Cd 2.84-2.97
4 Br 0.1912 0.6303 0.9321  4 Cd 2.84-2.97
5 Cd 0.0000 0.0000 0.0000  2 O 2.18
6 Cd 0.5863 0.8646 0.2185  3 O 2.19-2.28
7 Cd 0.4137 0.3646 0.2815  3 O 2.19-2.28
8 Cd 0.0000 0.5000 0.5000  2 O 2.18
9 Cd 0.5863 0.6354 0.7185  3 O 2.19-2.28
10 Cd 0.4137 0.1354 0.7815  3 O 2.19-2.28
11 O 0.3347 0.1118 0.0672  4 Cd 2.18-2.28
12 O 0.6653 0.6118 0.4328  4 Cd 2.18-2.28
13 O 0.3347 0.3882 0.5672  4 Cd 2.18-2.28
14 O 0.6653 0.8882 0.9328  4 Cd 2.18-2.28

---

## SrCdPbBr2O2 (PBE-GGA)

Data for a relaxed structure of SrCdPbBr2O2.

Cell lengths 6.5330, 6.5330, 7.7269 Å; angles 120.39, 120.39, 35.61 degrees
With the nearest neighbours (Å) after each atom.
Element x y z (fractional)
1 Br 0.5768 0.5768 0.3518  2 Cd 3.08, 2 Sr 3.30
2 Br 0.4392 0.4392 0.6812  2 Cd 2.95
3 Cd 0.9981 0.9981 0.0012  2 O 2.11
4 O 0.1865 0.1865 0.0689  1 Cd 2.11
5 O 0.8083 0.8083 0.9261  1 Cd 2.11, 1 Pb 2.31
6 Pb 0.8022 0.8022 0.2202  3 O 2.31-2.38
7 Sr 0.1890 0.1890 0.7506  3 O 2.43-2.48

---

## Sr2Cd3Br2O4 (PBE-GGA)

Data for a relaxed structure of Sr2Cd3Br2O4.

Cell lengths 7.5806, 7.5806, 7.5806 Å; angles 132.05, 132.05, 70.15 degrees
With the nearest neighbours (Å) after each atom.
Element x y z (fractional)
1 Br 0.7500 0.2500 0.5000  2 Cd 3.10, 4 Sr 3.42
2 Br 0.2500 0.7500 0.5000  2 Cd 3.10, 4 Sr 3.42
3 Cd 0.0000 0.0000 0.0000  4 O 2.31
4 Cd 0.5000 0.0000 0.5000  4 O 2.18
5 Cd 0.0000 0.5000 0.5000  4 O 2.18
6 O 0.7346 0.2654 0.0000  3 Cd 2.18-2.31
7 O 0.2654 0.7346 0.0000  3 Cd 2.18-2.31
8 O 0.7346 0.7346 0.4693  3 Cd 2.18-2.31
9 O 0.2654 0.2654 0.5307  3 Cd 2.18-2.31
10 Sr 0.3688 0.3688 0.0000  4 O 2.61
11 Sr 0.6312 0.6312 0.0000  4 O 2.61

---

## Cd3Te2Br2O6 (PBE-GGA)

Data for a relaxed structure of Cd3Te2Br2O6.

Cell lengths 6.1266, 6.1266, 8.0173 Å; angles 110.79, 110.79, 69.33 degrees
With the nearest neighbours (Å) after each atom.
Element x y z (fractional)
1 Br 0.2182 0.2182 0.1149  1 Cd 2.71
2 Br 0.7818 0.7818 0.8851  1 Cd 2.71
3 Cd 0.0540 0.0540 0.3079  4 O 2.21-2.34
4 Cd 0.5000 0.5000 0.5000  4 O 2.26
5 Cd 0.9460 0.9460 0.6921  4 O 2.21-2.34
6 O 0.7749 0.4028 0.3411  1 Te 1.90
7 O 0.4028 0.7749 0.3411  1 Te 1.90
8 O 0.8552 0.8552 0.3700  1 Te 1.87
9 O 0.1448 0.1448 0.6300  1 Te 1.87
10 O 0.5972 0.2251 0.6589  1 Te 1.90
11 O 0.2251 0.5972 0.6589  1 Te 1.90
12 Te 0.6527 0.6527 0.2182  3 O 1.87-1.90
13 Te 0.3473 0.3473 0.7818  3 O 1.87-1.90

---

## CdPBr4 (PBE-GGA)

Data for a relaxed structure of CdPBr4.

Cell lengths 6.6416, 6.6416, 4.0428 Å; angles 90.00, 90.00, 90.36 degrees
With the nearest neighbours (Å) after each atom.
Element x y z (fractional)
1 Br 0.3182 0.3182 0.0000  2 P 2.64
2 Br 0.6818 0.6818 0.0000  2 P 2.64
3 Br 0.7994 0.2006 0.5000  2 Cd 2.77, 1 P 2.82
4 Br 0.2006 0.7994 0.5000  2 Cd 2.77, 1 P 2.82
5 Cd 0.0000 0.0000 0.0000  6 Br 2.77-2.98
6 P 0.5000 0.5000 0.5000  6 Br 2.64-2.82

---

## Cd3PbBr2 (PBE-GGA)

Data for a relaxed structure of Cd3PbBr2.

Cell lengths 6.3320, 6.3320, 4.7931 Å; angles 90.00, 90.00, 120.12 degrees
With the nearest neighbours (Å) after each atom.
Element x y z (fractional)
1 Br 0.6664 0.3336 0.0000  6 Cd 3.01
2 Br 0.3336 0.6664 0.0000  6 Cd 3.01
3 Cd 0.5000 0.0000 0.5000  4 Br 3.01, 4 Cd 3.16-3.17
4 Cd 0.0000 0.5000 0.5000  4 Br 3.01, 4 Cd 3.16-3.17
5 Cd 0.5000 0.5000 0.5000  4 Br 3.01, 4 Cd 3.17
6 Pb 0.0000 0.0000 0.0000  6 Br 3.65-3.66, 12 Cd 3.97

---

## Rb2CdPdBr6 (PBE-GGA)

Data for a relaxed structure of Rb2CdPdBr6.

Cell lengths 7.6714, 7.6714, 7.6714 Å; angles 60.00, 60.00, 60.00 degrees
With the nearest neighbours (Å) after each atom.
Element x y z (fractional)
1 Br 0.7572 0.2428 0.2428  1 Pd 2.63, 1 Cd 2.79
2 Br 0.2428 0.7572 0.2428  1 Pd 2.63, 1 Cd 2.79
3 Br 0.7572 0.7572 0.2428  1 Pd 2.63, 1 Cd 2.79
4 Br 0.2428 0.2428 0.7572  1 Pd 2.63, 1 Cd 2.79
5 Br 0.7572 0.2428 0.7572  1 Pd 2.63, 1 Cd 2.79
6 Br 0.2428 0.7572 0.7572  1 Pd 2.63, 1 Cd 2.79
7 Cd 0.5000 0.5000 0.5000  6 Br 2.79
8 Pd 0.0000 0.0000 0.0000  6 Br 2.63
9 Rb 0.2500 0.2500 0.2500  12 Br 3.84
10 Rb 0.7500 0.7500 0.7500  12 Br 3.84

---

## Rb2Cd2PdBr8 (PBE-GGA)

Data for a relaxed structure of Rb2Cd2PdBr8.

Cell lengths 7.1750, 7.1750, 9.9254 Å; angles 104.32, 104.32, 61.78 degrees
With the nearest neighbours (Å) after each atom.
Element x y z (fractional)
1 Br 0.8934 0.3595 0.1445  1 Pd 2.48
2 Br 0.3595 0.8934 0.1445  1 Pd 2.48
3 Br 0.9061 0.9061 0.3163  1 Cd 2.61
4 Br 0.6558 0.6558 0.4967  1 Cd 2.57
5 Br 0.3442 0.3442 0.5033  1 Cd 2.57
6 Br 0.0939 0.0939 0.6837  1 Cd 2.61
7 Br 0.6405 0.1066 0.8555  1 Pd 2.48
8 Br 0.1066 0.6405 0.8555  1 Pd 2.48
9 Cd 0.1273 0.1273 0.3959  2 Br 2.57-2.61
10 Cd 0.8727 0.8727 0.6041  2 Br 2.57-2.61
11 Pd 0.0000 0.0000 0.0000  4 Br 2.48
12 Rb 0.3952 0.3952 0.1795  8 Br 3.45-3.79
13 Rb 0.6048 0.6048 0.8205  8 Br 3.45-3.79

---

## Tl2CdPdBr6 (PBE-GGA)

Data for a relaxed structure of Tl2CdPdBr6.

Cell lengths 7.6203, 7.6203, 7.6203 Å; angles 60.00, 60.00, 60.00 degrees
With the nearest neighbours (Å) after each atom.
Element x y z (fractional)
1 Br 0.7572 0.2428 0.2428  1 Pd 2.62, 1 Cd 2.77
2 Br 0.2428 0.7572 0.2428  1 Pd 2.62, 1 Cd 2.77
3 Br 0.7572 0.7572 0.2428  1 Pd 2.62, 1 Cd 2.77
4 Br 0.2428 0.2428 0.7572  1 Pd 2.62, 1 Cd 2.77
5 Br 0.7572 0.2428 0.7572  1 Pd 2.62, 1 Cd 2.77
6 Br 0.2428 0.7572 0.7572  1 Pd 2.62, 1 Cd 2.77
7 Cd 0.5000 0.5000 0.5000  6 Br 2.77
8 Pd 0.0000 0.0000 0.0000  6 Br 2.62
9 Tl 0.2500 0.2500 0.2500  12 Br 3.81
10 Tl 0.7500 0.7500 0.7500  12 Br 3.81

---

## Rb2CdPtBr6 (PBE-GGA)

Data for a relaxed structure of Rb2CdPtBr6.

Cell lengths 7.6986, 7.6986, 7.6986 Å; angles 60.00, 60.00, 60.00 degrees
With the nearest neighbours (Å) after each atom.
Element x y z (fractional)
1 Br 0.7602 0.2398 0.2398  1 Pt 2.61, 1 Cd 2.83
2 Br 0.2398 0.7602 0.2398  1 Pt 2.61, 1 Cd 2.83
3 Br 0.7602 0.7602 0.2398  1 Pt 2.61, 1 Cd 2.83
4 Br 0.2398 0.2398 0.7602  1 Pt 2.61, 1 Cd 2.83
5 Br 0.7602 0.2398 0.7602  1 Pt 2.61, 1 Cd 2.83
6 Br 0.2398 0.7602 0.7602  1 Pt 2.61, 1 Cd 2.83
7 Cd 0.5000 0.5000 0.5000  6 Br 2.83
8 Pt 0.0000 0.0000 0.0000  6 Br 2.61
9 Rb 0.2500 0.2500 0.2500  12 Br 3.85
10 Rb 0.7500 0.7500 0.7500  12 Br 3.85

---

## Rb2CdSnBr6 (PBE-GGA)

Data for a relaxed structure of Rb2CdSnBr6.

Cell lengths 8.0669, 8.0669, 8.0669 Å; angles 60.00, 60.00, 60.00 degrees
With the nearest neighbours (Å) after each atom.
Element x y z (fractional)
1 Br 0.7446 0.2554 0.2554  1 Cd 2.79, 1 Sn 2.91
2 Br 0.2554 0.7446 0.2554  1 Cd 2.79, 1 Sn 2.91
3 Br 0.7446 0.7446 0.2554  1 Cd 2.79, 1 Sn 2.91
4 Br 0.2554 0.2554 0.7446  1 Cd 2.79, 1 Sn 2.91
5 Br 0.7446 0.2554 0.7446  1 Cd 2.79, 1 Sn 2.91
6 Br 0.2554 0.7446 0.7446  1 Cd 2.79, 1 Sn 2.91
7 Cd 0.5000 0.5000 0.5000  6 Br 2.79
8 Rb 0.2500 0.2500 0.2500  12 Br 4.03
9 Rb 0.7500 0.7500 0.7500  12 Br 4.03
10 Sn 0.0000 0.0000 0.0000  6 Br 2.91

---

## CdSnSBr2 (PBE-GGA)

Data for a relaxed structure of CdSnSBr2.

Cell lengths 7.3206, 7.3206, 9.6509 Å; angles 90.00, 90.00, 147.17 degrees
With the nearest neighbours (Å) after each atom.
Element x y z (fractional)
1 Br 0.6393 0.3607 0.0540  2 Cd 2.89, 1 Sn 3.03
2 Br 0.6393 0.3607 0.4460  2 Cd 2.89, 1 Sn 3.03
3 Br 0.3607 0.6393 0.5540  2 Cd 2.89, 1 Sn 3.03
4 Br 0.3607 0.6393 0.9460  2 Cd 2.89, 1 Sn 3.03
5 Cd 0.0000 0.0000 0.0000  2 S 2.61, 4 Br 2.89
6 Cd 0.0000 0.0000 0.5000  2 S 2.61, 4 Br 2.89
7 S 0.9298 0.0702 0.2500  2 Cd 2.61, 2 Sn 2.70
8 S 0.0702 0.9298 0.7500  2 Cd 2.61, 2 Sn 2.70
9 Sn 0.3057 0.6943 0.2500  2 S 2.70
10 Sn 0.6943 0.3057 0.7500  2 S 2.70

---

## Sc2CdBr4 (PBE-GGA)

Data for a relaxed structure of Sc2CdBr4.

Cell lengths 3.7100, 3.7100, 16.4953 Å; angles 90.00, 90.00, 120.00 degrees
With the nearest neighbours (Å) after each atom.
Element x y z (fractional)
1 Br 0.3333 0.6667 0.2640  4 Sc 2.77-2.83
2 Br 0.0000 0.0000 0.4724  3 Sc 2.72
3 Br 0.3333 0.6667 0.7943  3 Cd 2.83
4 Br 0.0000 0.0000 0.9918  3 Sc 2.71
5 Cd 0.0000 0.0000 0.6821  3 Br 2.83
6 Sc 0.3333 0.6667 0.0927  4 Br 2.71-2.83
7 Sc 0.6667 0.3333 0.3708  6 Br 2.72-2.77

---

## Ta4Cd2Br (PBE-GGA)

Data for a relaxed structure of Ta4Cd2Br.

Cell lengths 7.4062, 7.4062, 3.2673 Å; angles 90.00, 90.00, 115.64 degrees
With the nearest neighbours (Å) after each atom.
Element x y z (fractional)
1 Br 0.5000 0.5000 0.0000  4 Ta 2.91
2 Cd 0.5000 0.0000 0.5000  6 Ta 3.03-3.16, 2 Cd 3.27
3 Cd 0.0000 0.5000 0.5000  6 Ta 3.03-3.16, 2 Cd 3.27
4 Ta 0.8789 0.1211 0.0000  4 Ta 2.71, 4 Cd 3.03
5 Ta 0.1211 0.8789 0.0000  4 Ta 2.71, 4 Cd 3.03
6 Ta 0.1953 0.1953 0.5000  4 Ta 2.71, 2 Br 2.91
7 Ta 0.8047 0.8047 0.5000  4 Ta 2.71, 2 Br 2.91

---

## TlCdBr3 (PBE-GGA)

Data for a relaxed structure of TlCdBr3.

Cell lengths 9.5105, 4.1969, 15.6087 Å; angles 90.00, 90.00, 90.00 degrees
With the nearest neighbours (Å) after each atom.
Element x y z (fractional)
1 Br 0.6647 0.2500 0.0065  2 Cd 2.81
2 Br 0.9767 0.7500 0.1036  3 Cd 2.84-2.87
3 Br 0.2899 0.2500 0.2126  1 Cd 2.71
4 Br 0.7899 0.2500 0.2874  1 Cd 2.71
5 Br 0.4767 0.7500 0.3964  3 Cd 2.84-2.87
6 Br 0.1647 0.2500 0.4935  2 Cd 2.81
7 Br 0.8353 0.7500 0.5065  2 Cd 2.81
8 Br 0.5233 0.2500 0.6036  3 Cd 2.84-2.87
9 Br 0.2101 0.7500 0.7126  1 Cd 2.71
10 Br 0.7101 0.7500 0.7874  1 Cd 2.71
11 Br 0.0233 0.2500 0.8964  3 Cd 2.84-2.87
12 Br 0.3353 0.7500 0.9935  2 Cd 2.81
13 Cd 0.1675 0.2500 0.0561  6 Br 2.71-2.87
14 Cd 0.6675 0.2500 0.4439  6 Br 2.71-2.87
15 Cd 0.3325 0.7500 0.5561  6 Br 2.71-2.87
16 Cd 0.8325 0.7500 0.9439  6 Br 2.71-2.87
17 Tl 0.5655 0.7500 0.1766  8 Br 3.40-3.60
18 Tl 0.0655 0.7500 0.3234  8 Br 3.40-3.60
19 Tl 0.9345 0.2500 0.6766  8 Br 3.40-3.60
20 Tl 0.4345 0.2500 0.8234  8 Br 3.40-3.60

---

## YTl2CdBr6 (PBE-GGA)

Data for a relaxed structure of YTl2CdBr6.

Cell lengths 8.1360, 8.1360, 8.1360 Å; angles 60.00, 60.00, 60.00 degrees
With the nearest neighbours (Å) after each atom.
Element x y z (fractional)
1 Br 0.7425 0.2575 0.2575  1 Y 2.79, 1 Cd 2.96
2 Br 0.2575 0.7425 0.2575  1 Y 2.79, 1 Cd 2.96
3 Br 0.7425 0.7425 0.2575  1 Y 2.79, 1 Cd 2.96
4 Br 0.2575 0.2575 0.7425  1 Y 2.79, 1 Cd 2.96
5 Br 0.7425 0.2575 0.7425  1 Y 2.79, 1 Cd 2.96
6 Br 0.2575 0.7425 0.7425  1 Y 2.79, 1 Cd 2.96
7 Cd 0.0000 0.0000 0.0000  6 Br 2.96
8 Tl 0.2500 0.2500 0.2500  12 Br 4.07
9 Tl 0.7500 0.7500 0.7500  12 Br 4.07
10 Y 0.5000 0.5000 0.5000  6 Br 2.79

---

## CoBr3Cl (PBE-GGA)

Data for a relaxed structure of CoBr3Cl.

Cell lengths 5.9454, 7.0615, 8.4012 Å; angles 89.40, 80.59, 77.88 degrees
With the nearest neighbours (Å) after each atom.
Element x y z (fractional)
1 Br 0.7263 0.8324 0.2050  1 Cl 2.22
2 Br 0.5906 0.1961 0.3925  2 Co 2.41
3 Br 0.1319 0.9484 0.4820  2 Co 2.38
4 Br 0.0025 0.4134 0.5391  2 Co 2.40
5 Br 0.5892 0.9112 0.7035  2 Co 2.39
6 Br 0.0024 0.1323 0.8432  2 Co 2.39
7 Cl 0.8329 0.5629 0.0524  1 Br 2.22
8 Cl 0.4675 0.3610 0.7474  2 Co 2.25
9 Co 0.7939 0.1625 0.6209  1 Cl 2.25, 5 Br 2.38-2.41
10 Co 0.2984 0.1627 0.6209  1 Cl 2.25, 5 Br 2.38-2.41

---

## CoBr2Cl2 (PBE-GGA)

Data for a relaxed structure of CoBr2Cl2.

Cell lengths 6.8492, 6.8492, 8.0088 Å; angles 124.15, 124.15, 61.93 degrees
With the nearest neighbours (Å) after each atom.
Element x y z (fractional)
1 Br 0.6850 0.6850 0.1677  2 Co 2.41
2 Br 0.1857 0.1857 0.1683  2 Co 2.41
3 Br 0.8143 0.8143 0.8317  2 Co 2.41
4 Br 0.3150 0.3150 0.8323  2 Co 2.41
5 Cl 0.7637 0.2615 0.2841  1 Co 2.18
6 Cl 0.2615 0.7637 0.2841  1 Co 2.18
7 Cl 0.7385 0.2363 0.7159  1 Co 2.18
8 Cl 0.2363 0.7385 0.7159  1 Co 2.18
9 Co 0.7504 0.2496 0.0000  2 Cl 2.18, 4 Br 2.41
10 Co 0.2496 0.7504 0.0000  2 Cl 2.18, 4 Br 2.41

---

## Co2Br3Cl (PBE-GGA)

Data for a relaxed structure of Co2Br3Cl.

Cell lengths 3.8092, 3.8545, 11.8854 Å; angles 90.00, 90.00, 90.00 degrees
With the nearest neighbours (Å) after each atom.
Element x y z (fractional)
1 Br 0.5000 0.5000 0.3780  2 Co 2.40
2 Br 0.0000 0.0000 0.6201  2 Co 2.40
3 Br 0.5000 0.5000 0.8853  2 Co 2.40
4 Cl 0.0000 0.0000 0.1103  2 Co 2.27
5 Co 0.5000 0.0000 0.0060  2 Cl 2.27, 2 Br 2.40
6 Co 0.0000 0.5000 0.5003  4 Br 2.40

---

| no. | VASP energy (eV/atom) |
| --- | --- |
| 1 | -2.360 |
| 2 | -2.846 |
| 3 | -3.848 |
| 4 | -3.223 |
| 5 | -4.362 |
| 6 | -4.192 |
| 7 | -4.246 |
| 8 | -2.425 |
| 9 | -1.537 |
| 10 | -2.805 |
| 11 | -2.709 |
| 12 | -2.689 |
| 13 | -2.830 |
| 14 | -2.865 |
| 15 | -3.173 |
| 16 | -3.783 |
| 17 | -7.006 |
| 18 | -2.519 |
| 19 | -3.283 |
| 20 | -3.079 |
| 21 | -3.061 |
| 22 | -3.850 |